Compound: BaCaCo2F8
Source: Alexandria
Functional: PBE with a Hubbard U
Structure: optimized geometry

a = 4.1734 Å, b = 5.3538 Å, c = 8.4428 Å
α = 84.27°, β = 89.54°, γ = 81.66°
Last column: nearest neighbours and their distance in Å.
Atoms (fractional coordinates):
Ba (0.0000, 0.0000, 0.0000)  8 F 2.59-2.89
Ca (0.0000, 0.0000, 0.5000)  8 F 2.31-2.56
Co (0.4416, 0.4537, 0.6924)  5 F 1.98-2.17
Co (0.5584, 0.5463, 0.3076)  5 F 1.98-2.17
F (0.0778, 0.7105, 0.3080)  1 Co 2.07
F (0.1295, 0.7557, 0.7388)  1 Co 1.99
F (0.4369, 0.2627, 0.4908)  2 Co 2.07-2.17
F (0.4432, 0.2738, 0.9086)  1 Co 1.98
F (0.5568, 0.7262, 0.0914)  1 Co 1.98
F (0.5631, 0.7373, 0.5092)  2 Co 2.07-2.17
F (0.8705, 0.2443, 0.2612)  1 Co 1.99
F (0.9222, 0.2895, 0.6920)  1 Co 2.07

Raw total energy, eV/atom: -5.39
Space group: P-1